Entry 1:
Crystalline InMo at its relaxed geometry. Source: the Alexandria database, functional GGA-PBE.

Output
calculated density: 8.4 g cm⁻³
DFT total energy: -5.650 eV/atom
SG: Fm-3m
magnetic moment: 0.49 μB per formula unit
excess energy over the best structure of this formula in the dataset: 920 meV per atom
DOS at the Fermi energy: 1.4108 states/eV per atom

```
InMo
1.0
0.000 2.757 2.757
2.757 0.000 2.757
2.757 2.757 0.000
In Mo
1 1
Direct
0.000 0.000 0.000 In
0.500 0.500 0.500 Mo
```

=====

Entry 2:
Crystalline EuSnBr2 at its relaxed geometry. Source: the Alexandria database, functional GGA-PBE.

Output
calculated density: 5.2 g cm⁻³
uncorrected formation energy: -2.41 eV/f.u.
DFT total energy: -5.009 eV/atom
SG: R-3m
magnetic moment: 7.48 μB per formula unit
DOS at the Fermi energy: 2.2138 states/eV per atom

```
EuSnBr2
1.0
1.941 1.120 10.603
-1.941 1.120 10.603
0.000 -2.241 10.603
Eu Sn Br
1 1 2
Direct
0.000 0.000 0.000 Eu
0.500 0.500 0.500 Sn
0.090 0.090 0.090 Br
0.910 0.910 0.910 Br
```

=====

Entry 3:
Crystalline KZnRh3 at its relaxed geometry. Source: the Alexandria database, functional GGA-PBE.

Output
calculated density: 6.6 g cm⁻³
DFT total energy: -2.764 eV/atom
SG: Pm-3m
magnetic moment: 1.48 μB per formula unit
excess energy over the best structure of this formula in the dataset: 1219 meV per atom
DOS at the Fermi energy: 1.1529 states/eV per atom

```
KZnRh3
1.0
4.705 0.000 0.000
0.000 4.705 0.000
0.000 0.000 4.705
K Zn Rh
1 1 3
Direct
0.000 0.000 0.000 K
0.500 0.500 0.500 Zn
0.000 0.000 0.500 Rh
0.000 0.500 0.000 Rh
0.500 0.000 0.000 Rh
```